The following is a DFT calculation (PBE) of a geometry-optimized Er8Ni2Ag structure.

The structure in POSCAR format:
```
Er8Ni2Ag
1.0
4.1673 -6.4376 0.0000
4.1673 6.4376 0.0000
-1.4106 0.0000 5.2779
Er Ni Ag
8 2 1
Cartesian
0.8755 1.6632 3.1033
4.1673 3.3480 0.0000
0.8755 -1.6632 3.1033
2.9025 0.0000 1.0081
4.0215 0.0000 4.2698
6.0485 1.6632 2.1746
4.1673 -3.3480 0.0000
6.0485 -1.6632 2.1746
3.4620 2.5263 2.6390
3.4620 -2.5263 2.6390
0.0000 0.0000 0.0000
```

Properties
Formation energy from the elements   -126 meV/atom